(1)
Below is Cu2TcRu at its PBEsol-relaxed geometry, with properties calculated at the SCAN level.

* VASP energy: -24.75 eV/atom
* ΔE to the lowest computed polymorph: 172.6 meV per atom
* DOS at the Fermi energy: 0.854 states/eV/atom

Structure (CIF):
```
data_Cu2TcRu
_cell_length_a 4.901
_cell_length_b 7.910
_cell_length_c 2.612
_cell_angle_alpha 90.00
_cell_angle_beta 90.00
_cell_angle_gamma 90.00
_symmetry_space_group_name_H-M 'C m m m'
_symmetry_Int_Tables_number 65
_symmetry_space_group_name_Hall '-C 2 2'
loop_
_atom_site_label
_atom_site_type_symbol
_atom_site_fract_x
_atom_site_fract_y
_atom_site_fract_z
_atom_site_occupancy
Cu1 Cu 0.250 0.250 0.000 1
Tc1 Tc 0.000 0.000 0.500 1
Ru1 Ru 0.000 0.500 0.500 1
```

(2)
Below is Cu2TcRu at its PBEsol-relaxed geometry, with properties calculated at the SCAN level.

* VASP energy: -24.92 eV/atom
* ΔE to the lowest computed polymorph: 0.0 meV per atom
* DOS at the Fermi energy: 0.689 states/eV/atom

Structure (CIF):
```
data_Cu2TcRu
_cell_length_a 2.680
_cell_length_b 3.650
_cell_length_c 5.190
_cell_angle_alpha 90.00
_cell_angle_beta 90.00
_cell_angle_gamma 90.00
_symmetry_space_group_name_H-M 'P m m 2'
_symmetry_Int_Tables_number 25
loop_
_symmetry_equiv_pos_as_xyz
'x,y,z'
'-x,-y,z'
'-x,y,z'
'x,-y,z'
loop_
_atom_site_label
_atom_site_type_symbol
_atom_site_fract_x
_atom_site_fract_y
_atom_site_fract_z
_atom_site_occupancy
Cu1 Cu 0.000 0.000 0.000 1
Cu2 Cu 0.500 0.500 0.218 1
Tc1 Tc 0.500 0.500 0.722 1
Ru1 Ru 0.000 0.000 0.497 1
```

(3)
Below is CuTc2Ru at its PBEsol-relaxed geometry, with properties calculated at the SCAN level.

* VASP energy: -29.82 eV/atom
* ΔE to the lowest computed polymorph: 59.4 meV per atom
* DOS at the Fermi energy: 0.917 states/eV/atom

Structure (CIF):
```
data_CuTc2Ru
_cell_length_a 5.203
_cell_length_b 7.615
_cell_length_c 2.668
_cell_angle_alpha 90.00
_cell_angle_beta 90.00
_cell_angle_gamma 90.00
_symmetry_space_group_name_H-M 'C m m m'
_symmetry_Int_Tables_number 65
_symmetry_space_group_name_Hall '-C 2 2'
loop_
_atom_site_label
_atom_site_type_symbol
_atom_site_fract_x
_atom_site_fract_y
_atom_site_fract_z
_atom_site_occupancy
Cu1 Cu 0.000 0.000 0.000 1
Tc1 Tc 0.250 0.250 0.500 1
Ru1 Ru 0.000 0.500 0.000 1
```

(4)
Below is CuTcRu2 at its PBEsol-relaxed geometry, with properties calculated at the SCAN level.

* VASP energy: -29.78 eV/atom
* DOS at the Fermi energy: 1.112 states/eV/atom

Structure (CIF):
```
data_CuTcRu2
_cell_length_a 2.694
_cell_length_b 2.694
_cell_length_c 7.231
_cell_angle_alpha 90.00
_cell_angle_beta 90.00
_cell_angle_gamma 90.00
_symmetry_space_group_name_H-M 'P 4/m m m'
_symmetry_Int_Tables_number 123
_symmetry_space_group_name_Hall '-P 4 2'
loop_
_atom_site_label
_atom_site_type_symbol
_atom_site_fract_x
_atom_site_fract_y
_atom_site_fract_z
_atom_site_occupancy
Cu1 Cu 0.000 0.000 0.000 1
Tc1 Tc 0.000 0.000 0.500 1
Ru1 Ru 0.500 0.500 0.247 1
```

(5)
Below is Cu2TcRu at its PBEsol-relaxed geometry, with properties calculated at the SCAN level.

* VASP energy: -24.88 eV/atom
* ΔE to the lowest computed polymorph: 38.9 meV per atom
* DOS at the Fermi energy: 0.784 states/eV/atom

Structure (CIF):
```
data_Cu2TcRu
_cell_length_a 8.594
_cell_length_b 2.629
_cell_length_c 4.538
_cell_angle_alpha 90.00
_cell_angle_beta 99.48
_cell_angle_gamma 90.00
_symmetry_space_group_name_H-M 'C 1 m 1'
_symmetry_Int_Tables_number 8
loop_
_symmetry_equiv_pos_as_xyz
'x,y,z'
'x,-y,z'
'x+1/2,y+1/2,z'
'x+1/2,-y+1/2,z'
loop_
_atom_site_label
_atom_site_type_symbol
_atom_site_fract_x
_atom_site_fract_y
_atom_site_fract_z
_atom_site_occupancy
Cu1 Cu 0.000 0.000 0.000 1
Cu2 Cu 0.246 0.500 0.203 1
Tc1 Tc 0.499 0.000 0.498 1
Ru1 Ru 0.250 0.000 0.705 1
```

(6)
Below is Cu2TcRu at its PBEsol-relaxed geometry, with properties calculated at the SCAN level.

* VASP energy: -24.79 eV/atom
* ΔE to the lowest computed polymorph: 135.1 meV per atom
* DOS at the Fermi energy: 0.952 states/eV/atom

Structure (CIF):
```
data_Cu2TcRu
_cell_length_a 4.489
_cell_length_b 2.619
_cell_length_c 4.568
_cell_angle_alpha 90.00
_cell_angle_beta 108.93
_cell_angle_gamma 90.00
_symmetry_space_group_name_H-M 'P 1 2/m 1'
_symmetry_Int_Tables_number 10
loop_
_symmetry_equiv_pos_as_xyz
'x,y,z'
'-x,-y,-z'
'-x,y,-z'
'x,-y,z'
loop_
_atom_site_label
_atom_site_type_symbol
_atom_site_fract_x
_atom_site_fract_y
_atom_site_fract_z
_atom_site_occupancy
Cu1 Cu 0.000 0.000 0.000 1
Cu2 Cu 0.500 0.500 0.000 1
Tc1 Tc 0.000 0.500 0.500 1
Ru1 Ru 0.500 0.000 0.500 1
```

(7)
Below is CuTc2Ru at its PBEsol-relaxed geometry, with properties calculated at the SCAN level.

* VASP energy: -29.88 eV/atom
* ΔE to the lowest computed polymorph: 0.0 meV per atom
* DOS at the Fermi energy: 1.019 states/eV/atom

Structure (CIF):
```
data_CuTc2Ru
_cell_length_a 2.6711
_cell_length_b 2.6711
_cell_length_c 25.9691
_cell_angle_alpha 90.00
_cell_angle_beta 90.00
_cell_angle_gamma 120.00
_symmetry_space_group_name_H-M 'R 3 m'
_symmetry_Int_Tables_number 160
_symmetry_space_group_name_Hall 'R 3 -2"'
loop_
_atom_site_label
_atom_site_type_symbol
_atom_site_fract_x
_atom_site_fract_y
_atom_site_fract_z
_atom_site_occupancy
Cu1 Cu 0.0000 0.0000 0.0000 1
Tc1 Tc 0.0000 0.0000 0.2492 1
Tc2 Tc 0.0000 0.0000 0.4989 1
Ru1 Ru 0.0000 0.0000 0.7496 1
```

(8)
Below is CuTc2Ru at its PBEsol-relaxed geometry, with properties calculated at the SCAN level.

* VASP energy: -29.86 eV/atom
* ΔE to the lowest computed polymorph: 26.1 meV per atom
* DOS at the Fermi energy: 0.774 states/eV/atom

Structure (CIF):
```
data_CuTc2Ru
_cell_length_a 8.855
_cell_length_b 2.646
_cell_length_c 4.600
_cell_angle_alpha 90.00
_cell_angle_beta 99.54
_cell_angle_gamma 90.00
_symmetry_space_group_name_H-M 'C 1 m 1'
_symmetry_Int_Tables_number 8
loop_
_symmetry_equiv_pos_as_xyz
'x,y,z'
'x,-y,z'
'x+1/2,y+1/2,z'
'x+1/2,-y+1/2,z'
loop_
_atom_site_label
_atom_site_type_symbol
_atom_site_fract_x
_atom_site_fract_y
_atom_site_fract_z
_atom_site_occupancy
Cu1 Cu 0.000 0.000 0.000 1
Tc1 Tc 0.248 0.000 0.751 1
Tc2 Tc 0.496 0.000 0.497 1
Ru1 Ru 0.254 0.500 0.253 1
```

(9)
Below is CuTe2Ru at its PBEsol-relaxed geometry, with properties calculated at the SCAN level.

* VASP energy: -30.80 eV/atom
* ΔE to the lowest computed polymorph: 265.5 meV per atom
* DOS at the Fermi energy: 0.663 states/eV/atom
* E_form (uncorrected): 31.6 kJ/mol of atoms

Structure (CIF):
```
data_CuTe2Ru
_cell_length_a 3.230
_cell_length_b 3.229
_cell_length_c 7.033
_cell_angle_alpha 90.00
_cell_angle_beta 93.23
_cell_angle_gamma 90.00
_symmetry_space_group_name_H-M 'P 1 2/m 1'
_symmetry_Int_Tables_number 10
loop_
_symmetry_equiv_pos_as_xyz
'x,y,z'
'-x,-y,-z'
'-x,y,-z'
'x,-y,z'
loop_
_atom_site_label
_atom_site_type_symbol
_atom_site_fract_x
_atom_site_fract_y
_atom_site_fract_z
_atom_site_occupancy
Cu1 Cu 0.000 0.000 0.000 1
Te1 Te 0.454 0.500 0.262 1
Ru1 Ru 0.000 0.000 0.500 1
```

(10)
Below is Cu2TeRu at its PBEsol-relaxed geometry, with properties calculated at the SCAN level.

* VASP energy: -25.32 eV/atom
* DOS at the Fermi energy: 0.771 states/eV/atom
* E_form (uncorrected): 29.0 kJ/mol of atoms

Structure (CIF):
```
data_Cu2TeRu
_cell_length_a 3.692
_cell_length_b 3.726
_cell_length_c 8.422
_cell_angle_alpha 90.00
_cell_angle_beta 90.00
_cell_angle_gamma 90.00
_symmetry_space_group_name_H-M 'I m m m'
_symmetry_Int_Tables_number 71
_symmetry_space_group_name_Hall '-I 2 2'
loop_
_atom_site_label
_atom_site_type_symbol
_atom_site_fract_x
_atom_site_fract_y
_atom_site_fract_z
_atom_site_occupancy
Cu1 Cu 0.000 0.000 0.250 1
Te1 Te 0.000 0.500 0.000 1
Ru1 Ru 0.000 0.500 0.500 1
```

(11)
Below is Cu2TeRu at its PBEsol-relaxed geometry, with properties calculated at the SCAN level.

* VASP energy: -25.24 eV/atom
* DOS at the Fermi energy: 0.761 states/eV/atom
* E_form (uncorrected): 36.4 kJ/mol of atoms

Structure (CIF):
```
data_Cu2TeRu
_cell_length_a 3.406
_cell_length_b 3.406
_cell_length_c 5.128
_cell_angle_alpha 90.00
_cell_angle_beta 90.00
_cell_angle_gamma 90.00
_symmetry_space_group_name_H-M 'P 4/m m m'
_symmetry_Int_Tables_number 123
_symmetry_space_group_name_Hall '-P 4 2'
loop_
_atom_site_label
_atom_site_type_symbol
_atom_site_fract_x
_atom_site_fract_y
_atom_site_fract_z
_atom_site_occupancy
Cu1 Cu 0.000 0.000 0.237 1
Te1 Te 0.500 0.500 0.500 1
Ru1 Ru 0.500 0.500 0.000 1
```

(12)
Below is CuTe2Ru at its PBEsol-relaxed geometry, with properties calculated at the SCAN level.

* VASP energy: -31.07 eV/atom
* ΔE to the lowest computed polymorph: 0.0 meV per atom
* DOS at the Fermi energy: 0.509 states/eV/atom
* E_form (uncorrected): 5.9 kJ/mol of atoms

Structure (CIF):
```
data_CuTe2Ru
_cell_length_a 3.185
_cell_length_b 3.528
_cell_length_c 7.080
_cell_angle_alpha 90.00
_cell_angle_beta 90.00
_cell_angle_gamma 90.00
_symmetry_space_group_name_H-M 'P m m 2'
_symmetry_Int_Tables_number 25
loop_
_symmetry_equiv_pos_as_xyz
'x,y,z'
'-x,-y,z'
'-x,y,z'
'x,-y,z'
loop_
_atom_site_label
_atom_site_type_symbol
_atom_site_fract_x
_atom_site_fract_y
_atom_site_fract_z
_atom_site_occupancy
Cu1 Cu 0.000 0.000 0.000 1
Te1 Te 0.000 0.000 0.379 1
Te2 Te 0.500 0.500 0.817 1
Ru1 Ru 0.500 0.500 0.196 1
```

(13)
Below is CuTeRu2 at its PBEsol-relaxed geometry, with properties calculated at the SCAN level.

* VASP energy: -29.94 eV/atom
* DOS at the Fermi energy: 0.982 states/eV/atom
* E_form (uncorrected): 56.5 kJ/mol of atoms

Structure (CIF):
```
data_CuTeRu2
_cell_length_a 5.531
_cell_length_b 8.587
_cell_length_c 2.933
_cell_angle_alpha 90.00
_cell_angle_beta 119.18
_cell_angle_gamma 90.00
_symmetry_space_group_name_H-M 'C 1 2/m 1'
_symmetry_Int_Tables_number 12
loop_
_symmetry_equiv_pos_as_xyz
'x,y,z'
'-x,-y,-z'
'-x,y,-z'
'x,-y,z'
'x+1/2,y+1/2,z'
'-x+1/2,-y+1/2,-z'
'-x+1/2,y+1/2,-z'
'x+1/2,-y+1/2,z'
loop_
_atom_site_label
_atom_site_type_symbol
_atom_site_fract_x
_atom_site_fract_y
_atom_site_fract_z
_atom_site_occupancy
Cu1 Cu 0.000 0.000 0.000 1
Te1 Te 0.000 0.500 0.000 1
Ru1 Ru 0.250 0.250 0.500 1
```

(14)
Below is Cu2TeRu at its PBEsol-relaxed geometry, with properties calculated at the SCAN level.

* VASP energy: -24.94 eV/atom
* DOS at the Fermi energy: 0.630 states/eV/atom
* E_form (uncorrected): 65.9 kJ/mol of atoms

Structure (CIF):
```
data_Cu2TeRu
_cell_length_a 3.094
_cell_length_b 4.866
_cell_length_c 8.405
_cell_angle_alpha 90.00
_cell_angle_beta 90.00
_cell_angle_gamma 90.00
_symmetry_space_group_name_H-M 'C m m 2'
_symmetry_Int_Tables_number 35
loop_
_symmetry_equiv_pos_as_xyz
'x,y,z'
'-x,-y,z'
'-x,y,z'
'x,-y,z'
'x+1/2,y+1/2,z'
'-x+1/2,-y+1/2,z'
'-x+1/2,y+1/2,z'
'x+1/2,-y+1/2,z'
loop_
_atom_site_label
_atom_site_type_symbol
_atom_site_fract_x
_atom_site_fract_y
_atom_site_fract_z
_atom_site_occupancy
Cu1 Cu 0.000 0.000 0.000 1
Cu2 Cu 0.000 0.500 0.215 1
Te1 Te 0.000 0.500 0.708 1
Ru1 Ru 0.000 0.000 0.452 1
```

(15)
Below is CuTeRu2 at its PBEsol-relaxed geometry, with properties calculated at the SCAN level.

* VASP energy: -29.96 eV/atom
* DOS at the Fermi energy: 0.553 states/eV/atom
* E_form (uncorrected): 54.5 kJ/mol of atoms

Structure (CIF):
```
data_CuTeRu2
_cell_length_a 2.9134
_cell_length_b 2.9134
_cell_length_c 25.4727
_cell_angle_alpha 90.00
_cell_angle_beta 90.00
_cell_angle_gamma 120.00
_symmetry_space_group_name_H-M 'R 3 m'
_symmetry_Int_Tables_number 160
_symmetry_space_group_name_Hall 'R 3 -2"'
loop_
_atom_site_label
_atom_site_type_symbol
_atom_site_fract_x
_atom_site_fract_y
_atom_site_fract_z
_atom_site_occupancy
Cu1 Cu 0.0000 0.0000 0.0000 1
Te1 Te 0.0000 0.0000 0.2426 1
Ru1 Ru 0.0000 0.0000 0.4902 1
Ru2 Ru 0.0000 0.0000 0.7460 1
```

(16)
Below is Cu2TeRu at its PBEsol-relaxed geometry, with properties calculated at the SCAN level.

* VASP energy: -25.42 eV/atom
* DOS at the Fermi energy: 0.435 states/eV/atom
* E_form (uncorrected): 19.5 kJ/mol of atoms

Structure (CIF):
```
data_Cu2TeRu
_cell_length_a 3.182
_cell_length_b 3.403
_cell_length_c 5.462
_cell_angle_alpha 90.00
_cell_angle_beta 90.00
_cell_angle_gamma 90.00
_symmetry_space_group_name_H-M 'P m m 2'
_symmetry_Int_Tables_number 25
loop_
_symmetry_equiv_pos_as_xyz
'x,y,z'
'-x,-y,z'
'-x,y,z'
'x,-y,z'
loop_
_atom_site_label
_atom_site_type_symbol
_atom_site_fract_x
_atom_site_fract_y
_atom_site_fract_z
_atom_site_occupancy
Cu1 Cu 0.000 0.000 0.000 1
Cu2 Cu 0.500 0.500 0.186 1
Te1 Te 0.500 0.500 0.695 1
Ru1 Ru 0.000 0.000 0.463 1
```